# 1
The following is a PBE-GGA calculation of a relaxed Li3Zn2Rh crystal, from Alexandria.

## Properties
Symmetry: C2/c
Energy above the most stable polymorph in this dataset (meV per atom): 0
ΔE_f (meV/atom): -260
Spin magnetization (μB/f.u.): 0.0

Structure (POSCAR):
```
Li3Zn2Rh
1.0
2.773 -3.734 0.000
2.773 3.734 0.000
-2.734 0.000 8.118
Li Zn Rh
6 4 2
Cartesian
-0.668 0.935 4.854
0.723 2.801 6.088
0.699 -0.935 0.795
2.114 0.935 7.323
2.090 -2.801 2.029
3.481 -0.935 3.264
-0.661 0.933 7.476
0.706 -0.933 3.417
2.107 0.933 4.701
3.474 -0.933 0.642
2.090 0.929 2.029
0.723 -0.929 6.088
```

# 2
The following is a PBE-GGA calculation of a relaxed LiZrZnRh crystal, from Alexandria.

## Properties
Symmetry: F-43m
ΔE_f (meV/atom): -406
Spin magnetization (μB/f.u.): 0.0

Structure (POSCAR):
```
LiZrZnRh
1.0
0.000 3.165 3.165
3.165 0.000 3.165
3.165 3.165 0.000
Li Zr Zn Rh
1 1 1 1
Cartesian
0.000 0.000 0.000
1.582 1.582 1.582
4.747 4.747 4.747
3.165 3.165 3.165
```

# 3
The following is a PBE-GGA calculation of a relaxed Li2ZrRh crystal, from Alexandria.

## Properties
Symmetry: I-42d
Energy above the most stable polymorph in this dataset (meV per atom): 155
ΔE_f (meV/atom): -116
Spin magnetization (μB/f.u.): 0.0

Structure (POSCAR):
```
Li2ZrRh
1.0
-1.858 1.858 10.321
1.858 -1.858 10.321
1.858 1.858 -10.321
Li Zr Rh
4 2 2
Cartesian
2.787 0.785 -2.580
0.785 0.929 2.580
-0.929 1.073 7.741
1.073 0.929 12.901
1.858 0.000 5.160
0.000 0.000 10.321
0.000 0.000 0.000
0.000 1.858 5.160
```

# 4
The following is a PBE-GGA calculation of a relaxed Li4ZrRh crystal, from Alexandria.

## Properties
Symmetry: F-43m
ΔE_f (meV/atom): 40
Spin magnetization (μB/f.u.): 0.0

Structure (POSCAR):
```
Li4ZrRh
1.0
0.000 3.524 3.524
3.524 0.000 3.524
3.524 3.524 0.000
Li Zr Rh
4 1 1
Cartesian
0.861 0.861 0.861
2.662 2.662 0.861
2.662 0.861 2.662
0.861 2.662 2.662
3.524 3.524 3.524
5.286 5.286 5.286
```

# 5
The following is a PBE-GGA calculation of a relaxed Li3ZrRh crystal, from Alexandria.

## Properties
Symmetry: Pm-3m
Energy above the most stable polymorph in this dataset (meV per atom): 0
ΔE_f (meV/atom): 479
Spin magnetization (μB/f.u.): 0.0

Structure (POSCAR):
```
Li3ZrRh
1.0
4.424 0.000 0.000
0.000 4.424 0.000
0.000 0.000 4.424
Li Zr Rh
3 1 1
Cartesian
0.000 0.000 2.212
0.000 2.212 0.000
2.212 0.000 0.000
2.212 2.212 2.212
0.000 0.000 0.000
```

# 6
The following is a PBE-GGA calculation of a relaxed Li2ZrRh crystal, from Alexandria.

## Properties
Symmetry: Pm
Energy above the most stable polymorph in this dataset (meV per atom): 50
ΔE_f (meV/atom): -221
Spin magnetization (μB/f.u.): 0.0

Structure (POSCAR):
```
Li2ZrRh
1.0
3.297 0.000 0.000
0.000 3.289 0.000
-0.019 0.000 6.624
Li Zr Rh
2 1 1
Cartesian
0.000 0.000 0.000
1.642 1.645 1.413
3.284 0.000 3.717
1.637 1.645 5.053
```

# 7
The following is a PBE-GGA calculation of a relaxed LiZr4Rh5 crystal, from Alexandria.

## Properties
Symmetry: P4/mmm
ΔE_f (meV/atom): -720
Spin magnetization (μB/f.u.): 0.0

Structure (POSCAR):
```
LiZr4Rh5
1.0
3.316 0.000 0.000
0.000 3.316 0.000
0.000 0.000 15.505
Li Zr Rh
1 4 5
Cartesian
0.000 0.000 0.000
0.000 0.000 2.836
0.000 0.000 6.133
0.000 0.000 9.372
0.000 0.000 12.669
1.658 1.658 1.423
1.658 1.658 4.528
1.658 1.658 7.752
1.658 1.658 10.977
1.658 1.658 14.082
```

# 8
The following is a PBE-GGA calculation of a relaxed LiZr2Rh2 crystal, from Alexandria.

## Properties
Symmetry: P4/mbm
Energy above the most stable polymorph in this dataset (meV per atom): 94
ΔE_f (meV/atom): -455
Spin magnetization (μB/f.u.): 0.0

Structure (POSCAR):
```
LiZr2Rh2
1.0
7.822 0.000 0.000
0.000 7.822 0.000
0.000 0.000 3.091
Li Zr Rh
2 4 4
Cartesian
0.000 0.000 0.000
3.911 3.911 0.000
1.176 2.734 0.000
2.734 6.645 0.000
5.087 1.176 0.000
6.645 5.087 0.000
1.137 5.048 1.546
2.774 1.137 1.546
5.048 6.685 1.546
6.685 2.774 1.546
```

# 9
The following is a PBE-GGA calculation of a relaxed LiZrRh crystal, from Alexandria.

## Properties
Symmetry: Cmcm
Energy above the most stable polymorph in this dataset (meV per atom): 0
ΔE_f (meV/atom): -471
Spin magnetization (μB/f.u.): 0.0

Structure (POSCAR):
```
LiZrRh
1.0
2.298 -4.562 0.000
2.298 4.562 0.000
0.000 0.000 4.833
Li Zr Rh
2 2 2
Cartesian
2.298 4.055 3.625
2.298 -4.055 1.208
2.298 2.107 1.208
2.298 -2.107 3.625
2.298 0.927 3.625
2.298 -0.927 1.208
```

# 10
The following is a PBE-GGA calculation of a relaxed Li2ZrRh crystal, from Alexandria.

## Properties
Symmetry: P4/mmm
Energy above the most stable polymorph in this dataset (meV per atom): 249
ΔE_f (meV/atom): -22
Spin magnetization (μB/f.u.): 0.0

Structure (POSCAR):
```
Li2ZrRh
1.0
3.391 0.000 0.000
0.000 3.391 0.000
0.000 0.000 5.335
Li Zr Rh
2 1 1
Cartesian
0.000 0.000 1.099
0.000 0.000 4.236
1.695 1.695 2.668
1.695 1.695 0.000
```

# 11
The following is a PBE-GGA calculation of a relaxed LiZr2Rh2 crystal, from Alexandria.

## Properties
Symmetry: P4/mbm
Energy above the most stable polymorph in this dataset (meV per atom): 0
ΔE_f (meV/atom): -548
Spin magnetization (μB/f.u.): 0.0

Structure (POSCAR):
```
LiZr2Rh2
1.0
7.649 0.000 0.000
0.000 7.649 0.000
0.000 0.000 3.200
Li Zr Rh
2 4 4
Cartesian
0.000 0.000 0.000
3.825 3.825 0.000
1.204 2.621 1.600
2.621 6.446 1.600
5.028 1.204 1.600
6.446 5.028 1.600
1.067 4.892 0.000
2.758 1.067 0.000
4.892 6.582 0.000
6.582 2.758 0.000
```

# 12
The following is a PBE-GGA calculation of a relaxed Li2ZrRh crystal, from Alexandria.

## Properties
Symmetry: Immm
Energy above the most stable polymorph in this dataset (meV per atom): 0
ΔE_f (meV/atom): -271
Spin magnetization (μB/f.u.): 0.0

Structure (POSCAR):
```
Li2ZrRh
1.0
-1.867 1.886 4.697
1.867 -1.886 4.697
1.867 1.886 -4.697
Li Zr Rh
2 1 1
Cartesian
0.000 0.000 2.341
0.000 0.000 7.052
0.000 1.886 0.000
1.867 0.000 0.000
```

# 13
The following is a PBE-GGA calculation of a relaxed LiZr2Rh4 crystal, from Alexandria.

## Properties
Symmetry: R-3m
ΔE_f (meV/atom): -465
Spin magnetization (μB/f.u.): 0.0

Structure (POSCAR):
```
LiZr2Rh4
1.0
2.200 1.270 7.143
-2.200 1.270 7.143
0.000 -2.540 7.143
Li Zr Rh
1 2 4
Cartesian
0.000 0.000 0.000
0.000 0.000 5.321
0.000 0.000 16.109
0.000 0.000 2.674
0.000 0.000 8.042
0.000 0.000 13.388
0.000 0.000 18.757
```

# 14
The following is a PBE-GGA calculation of a relaxed LiZr3Rh4 crystal, from Alexandria.

## Properties
Symmetry: R-3m
ΔE_f (meV/atom): -724
Spin magnetization (μB/f.u.): 0.0

Structure (POSCAR):
```
LiZr3Rh4
1.0
2.290 1.322 7.489
-2.290 1.322 7.489
0.000 -2.645 7.489
Li Zr Rh
1 3 4
Cartesian
0.000 0.000 0.000
0.000 0.000 5.778
0.000 0.000 11.233
0.000 0.000 16.689
0.000 0.000 2.882
0.000 0.000 8.504
0.000 0.000 13.962
0.000 0.000 19.585
```

# 15
The following is a PBE-GGA calculation of a relaxed Li2ZrRh crystal, from Alexandria.

## Properties
Symmetry: R-3m
Energy above the most stable polymorph in this dataset (meV per atom): 339
ΔE_f (meV/atom): 68
Spin magnetization (μB/f.u.): 0.2

Structure (POSCAR):
```
Li2ZrRh
1.0
1.411 0.815 9.831
-1.411 0.815 9.831
0.000 -1.630 9.831
Li Zr Rh
2 1 1
Cartesian
0.000 0.000 6.983
0.000 0.000 22.509
0.000 0.000 0.000
0.000 0.000 14.746
```

# 16
The following is a PBE-GGA calculation of a relaxed Li2ZrRh crystal, from Alexandria.

## Properties
Symmetry: Pmmm
Energy above the most stable polymorph in this dataset (meV per atom): 21
ΔE_f (meV/atom): -250
Spin magnetization (μB/f.u.): 0.0

Structure (POSCAR):
```
Li2ZrRh
1.0
3.651 0.000 0.000
0.000 3.800 0.000
0.000 0.000 4.872
Li Zr Rh
2 1 1
Cartesian
0.000 0.000 0.000
1.825 1.900 0.000
0.000 1.900 2.436
1.825 0.000 2.436
```

# 17
The following is a PBE-GGA calculation of a relaxed LiZrRh crystal, from Alexandria.

## Properties
Symmetry: F-43m
Energy above the most stable polymorph in this dataset (meV per atom): 281
ΔE_f (meV/atom): -190
Spin magnetization (μB/f.u.): 0.0

Structure (POSCAR):
```
LiZrRh
1.0
0.000 3.080 3.080
3.080 0.000 3.080
3.080 3.080 0.000
Li Zr Rh
1 1 1
Cartesian
0.000 0.000 0.000
3.080 3.080 3.080
4.620 4.620 4.620
```

# 18
The following is a PBE-GGA calculation of a relaxed LiZrRh crystal, from Alexandria.

## Properties
Symmetry: P3m1
Energy above the most stable polymorph in this dataset (meV per atom): 140
ΔE_f (meV/atom): -331
Spin magnetization (μB/f.u.): 0.0

Structure (POSCAR):
```
LiZrRh
1.0
4.343 0.000 0.000
-2.171 3.761 0.000
0.000 0.000 3.016
Li Zr Rh
1 1 1
Cartesian
0.000 0.000 0.000
0.000 2.507 1.772
2.171 1.254 0.714
```

# 19
The following is a PBE-GGA calculation of a relaxed LiZr6Rh5 crystal, from Alexandria.

## Properties
Symmetry: C2/m
ΔE_f (meV/atom): -627
Spin magnetization (μB/f.u.): 0.0

Structure (POSCAR):
```
LiZr6Rh5
1.0
7.363 -3.316 0.000
7.363 3.316 0.000
-1.332 0.000 4.437
Li Zr Rh
1 6 5
Cartesian
0.000 0.000 0.000
3.777 1.641 3.696
6.697 1.621 2.219
9.618 1.641 0.741
3.777 -1.641 3.696
6.697 -1.621 2.219
9.618 -1.641 0.741
1.409 0.000 2.866
4.403 0.000 1.455
7.363 0.000 0.000
8.991 0.000 2.982
11.986 0.000 1.571
```

# 20
The following is a PBE-GGA calculation of a relaxed Li2ZrRh crystal, from Alexandria.

## Properties
Symmetry: Fm-3m
Energy above the most stable polymorph in this dataset (meV per atom): 283
ΔE_f (meV/atom): 12
Spin magnetization (μB/f.u.): 0.0

Structure (POSCAR):
```
Li2ZrRh
1.0
0.000 3.090 3.090
3.090 0.000 3.090
3.090 3.090 0.000
Li Zr Rh
2 1 1
Cartesian
1.545 1.545 1.545
4.635 4.635 4.635
0.000 0.000 0.000
3.090 3.090 3.090
```

# 21
The following is a PBE-GGA calculation of a relaxed LiZrRh3 crystal, from Alexandria.

## Properties
Symmetry: Pm-3m
Energy above the most stable polymorph in this dataset (meV per atom): 0
ΔE_f (meV/atom): -107
Spin magnetization (μB/f.u.): 0.0

Structure (POSCAR):
```
LiZrRh3
1.0
4.192 0.000 0.000
0.000 4.192 0.000
0.000 0.000 4.192
Li Zr Rh
1 1 3
Cartesian
0.000 0.000 0.000
2.096 2.096 2.096
0.000 0.000 2.096
0.000 2.096 0.000
2.096 0.000 0.000
```

# 22
The following is a PBE-GGA calculation of a relaxed Li2ZrRh crystal, from Alexandria.

## Properties
Symmetry: I-4m2
Energy above the most stable polymorph in this dataset (meV per atom): 55
ΔE_f (meV/atom): -216
Spin magnetization (μB/f.u.): 0.0

Structure (POSCAR):
```
Li2ZrRh
1.0
-2.246 2.246 3.195
2.246 -2.246 3.195
2.246 2.246 -3.195
Li Zr Rh
2 1 1
Cartesian
0.000 0.000 0.000
0.000 2.246 1.597
2.246 0.000 1.597
0.000 0.000 3.195
```

# 23
The following is a PBE-GGA calculation of a relaxed LiZrRh3 crystal, from Alexandria.

## Properties
Symmetry: Pm-3m
Energy above the most stable polymorph in this dataset (meV per atom): 801
ΔE_f (meV/atom): 695
Spin magnetization (μB/f.u.): 0.4

Structure (POSCAR):
```
LiZrRh3
1.0
4.837 0.000 0.000
0.000 4.837 0.000
0.000 0.000 4.837
Li Zr Rh
1 1 3
Cartesian
0.000 0.000 0.000
2.419 2.419 2.419
0.000 2.419 2.419
2.419 0.000 2.419
2.419 2.419 0.000
```

# 24
The following is a PBE-GGA calculation of a relaxed Li2ZrRh crystal, from Alexandria.

## Properties
Symmetry: Cmmm
Energy above the most stable polymorph in this dataset (meV per atom): 351
ΔE_f (meV/atom): 80
Spin magnetization (μB/f.u.): 0.5

Structure (POSCAR):
```
Li2ZrRh
1.0
1.460 -2.365 0.000
1.460 2.365 0.000
0.000 0.000 9.863
Li Zr Rh
2 1 1
Cartesian
0.000 0.000 2.099
0.000 0.000 7.764
1.460 0.000 4.932
1.460 0.000 0.000
```

# 25
The following is a PBE-GGA calculation of a relaxed LiZr3Rh crystal, from Alexandria.

## Properties
Symmetry: Pm-3m
Energy above the most stable polymorph in this dataset (meV per atom): 0
ΔE_f (meV/atom): 321
Spin magnetization (μB/f.u.): 0.7

Structure (POSCAR):
```
LiZr3Rh
1.0
5.076 0.000 0.000
0.000 5.076 0.000
0.000 0.000 5.076
Li Zr Rh
1 3 1
Cartesian
0.000 0.000 0.000
0.000 2.538 2.538
2.538 0.000 2.538
2.538 2.538 0.000
2.538 2.538 2.538
```

# 26
The following is a PBE-GGA calculation of a relaxed Li4Zr2Rh crystal, from Alexandria.

## Properties
Symmetry: I4/mmm
ΔE_f (meV/atom): 553
Spin magnetization (μB/f.u.): 0.7

Structure (POSCAR):
```
Li4Zr2Rh
1.0
-2.265 2.265 6.843
2.265 -2.265 6.843
2.265 2.265 -6.843
Li Zr Rh
4 2 1
Cartesian
2.265 0.000 0.000
0.000 0.000 2.445
0.000 2.265 0.000
0.000 0.000 11.242
0.000 0.000 5.434
0.000 0.000 8.253
0.000 0.000 0.000
```

# 27
The following is a PBE-GGA calculation of a relaxed LiZrRh crystal, from Alexandria.

## Properties
Symmetry: Imm2
Energy above the most stable polymorph in this dataset (meV per atom): 106
ΔE_f (meV/atom): -365
Spin magnetization (μB/f.u.): 0.0

Structure (POSCAR):
```
LiZrRh
1.0
-1.627 1.787 4.315
1.627 -1.787 4.315
1.627 1.787 -4.315
Li Zr Rh
1 1 1
Cartesian
0.000 0.000 0.000
0.000 0.000 2.680
0.000 0.000 5.690
```

no.,theoretical density (g/cm³)
1,5.03
2,6.98
3,4.85
4,4.21
5,4.12
6,4.81
7,8.63
8,6.94
9,6.59
10,5.63
11,7.01
12,5.22
13,8.33
14,8.45
15,5.09
16,5.11
17,5.71
18,6.78
19,8.19
20,5.85
21,9.17
22,5.36
23,5.97
24,5.07
25,4.87
26,3.70
27,6.65